BaSr3Ir: optimized geometry, PBE.

Unit cell a=7.4139 b=7.1163 c=8.7106 alpha=90.00 beta=90.16 gamma=90.00
With the nearest neighbours (Å) after each atom.
Fractional positions:
Ba1 0.0837 0.0000 0.3653  1 Ir 2.92
Ba2 0.9163 0.5000 0.6347  1 Ir 2.92
Sr1 0.0722 0.0134 0.8863  2 Ir 3.00-3.01
Sr2 0.4224 0.5398 0.3587  1 Ir 2.91
Sr3 0.4273 0.5244 0.8857  2 Ir 3.01-3.03
Sr4 0.5727 0.0244 0.1143  2 Ir 3.01-3.03
Sr5 0.5776 0.0398 0.6413  1 Ir 2.91
Sr6 0.9278 0.5134 0.1137  2 Ir 3.00-3.01
Ir1 0.2485 0.7702 0.1256  5 Sr 2.91-3.03, 1 Ba 2.92
Ir2 0.7515 0.2702 0.8744  5 Sr 2.91-3.03, 1 Ba 2.92

raw total energy: -0.24476 Ry per atom
theoretical density: 4.28 Mg/m³
space group: P2_1 (4)
calculated volume: 459.6 Å³/cell

YTmCo2Si4: optimized geometry, PBE.

Unit cell a=3.9448 b=3.9901 c=16.2715 alpha=90.00 beta=90.00 gamma=90.00
With the nearest neighbours (Å) after each atom.
Fractional positions:
Y1 0.0000 0.0000 0.0000  10 Si 3.00-3.16, 4 Co 3.03
Y2 0.0000 0.5000 0.5000  10 Si 3.00-3.16, 4 Co 3.03
Tm1 0.5000 0.0000 0.7845  10 Si 3.00-3.15, 4 Co 3.03
Tm2 0.5000 0.5000 0.2845  10 Si 3.00-3.15, 4 Co 3.03
Co1 0.0000 0.0000 0.2145  5 Si 2.20-2.31
Co2 0.0000 0.5000 0.7145  5 Si 2.20-2.31
Co3 0.5000 0.0000 0.5710  5 Si 2.22-2.31
Co4 0.5000 0.5000 0.0710  5 Si 2.22-2.31
Si1 0.0000 0.0000 0.3497  1 Co 2.20, 2 Si 2.41
Si2 0.0000 0.0000 0.6430  4 Co 2.29-2.31
Si3 0.0000 0.5000 0.1430  4 Co 2.29-2.31
Si4 0.0000 0.5000 0.8497  1 Co 2.20, 2 Si 2.41
Si5 0.5000 0.0000 0.1428  4 Co 2.29-2.31
Si6 0.5000 0.0000 0.4347  1 Co 2.22, 2 Si 2.41
Si7 0.5000 0.5000 0.6428  4 Co 2.29-2.31
Si8 0.5000 0.5000 0.9347  1 Co 2.22, 2 Si 2.41

raw total energy: -0.48759 Ry per atom
theoretical density: 6.33 Mg/m³
space group: Amm2 (38)
calculated volume: 256.1 Å³/cell